1.
A geometry-optimized Zn2OsC structure, computed with PBE-GGA.

Final energy   -4.98 eV/atom

Cell and atoms, written as POSCAR:
```
Zn2OsC
1.0
-6.3969 -3.6986 -0.5227
1.4842 -1.5655 -7.0866
-1.5311 -4.3121 -3.2398
C Os Zn
2 2 4
Direct
0.2500 0.7500 0.5000 C
0.5000 0.5000 0.0000 C
0.7500 0.2500 0.5000 Os
0.0000 0.0000 0.0000 Os
0.3750 0.4777 0.7500 Zn
0.2277 0.6250 0.2500 Zn
0.5223 0.1250 0.2500 Zn
0.8750 0.7723 0.7500 Zn
```



2.
A geometry-optimized ZnOsC3 structure, computed with PBE-GGA.

Final energy   -4.81 eV/atom
Polymorph energy (0 for the lowest one)   1.291 eV/atom

Cell and atoms, written as POSCAR:
```
ZnOsC3
1.0
-2.7208 2.6569 -0.2642
-2.6346 -2.7328 -0.3497
-0.4332 -0.0670 3.7867
C Os Zn
3 1 1
Direct
0.0000 0.5000 0.0000 C
0.5000 0.0000 0.0000 C
0.0000 0.0000 0.5000 C
0.5000 0.5000 0.5000 Os
0.0000 0.0000 0.0000 Zn
```



3.
A geometry-optimized ZnOs2C structure, computed with PBE-GGA.

Final energy   -7.06 eV/atom
Polymorph energy (0 for the lowest one)   0.000 eV/atom

Cell and atoms, written as POSCAR:
```
ZnOs2C
1.0
-4.5756 0.7446 -1.5644
-1.6658 -0.6761 4.5504
-2.5868 5.4008 2.4857
Os Zn C
4 2 2
Direct
0.2453 0.6250 0.2500 Os
0.5047 0.1250 0.2500 Os
0.8750 0.7547 0.7500 Os
0.3750 0.4953 0.7500 Os
0.7500 0.2500 0.5000 Zn
0.0000 0.0000 0.0000 Zn
0.5000 0.5000 0.0000 C
0.2500 0.7500 0.5000 C
```



4.
A geometry-optimized ZnOsC3 structure, computed with PBE-GGA.

Final energy   -6.10 eV/atom
Polymorph energy (0 for the lowest one)   0.000 eV/atom

Cell and atoms, written as POSCAR:
```
ZnOsC3
1.0
4.0118 0.0000 0.0000
0.0000 4.0118 0.0000
0.0000 0.0000 4.0118
Zn C Os
1 3 1
Direct
0.5000 0.5000 0.5000 Zn
0.0000 0.0000 0.5000 C
0.5000 0.0000 0.0000 C
0.0000 0.5000 0.0000 C
0.0000 0.0000 0.0000 Os
```



5.
A geometry-optimized Zr3OsC structure, computed with PBE-GGA.

Final energy   -9.44 eV/atom
Polymorph energy (0 for the lowest one)   0.000 eV/atom

Cell and atoms, written as POSCAR:
```
Zr3OsC
1.0
-3.3871 -2.9319 0.0053
2.9075 -3.3600 -0.5702
0.3772 -0.4277 4.4434
C Zr Os
1 3 1
Direct
0.0000 0.0000 0.0000 C
0.5000 0.0000 0.0000 Zr
0.0000 0.5000 0.0000 Zr
0.0000 0.0000 0.5000 Zr
0.5000 0.5000 0.5000 Os
```



6.
A geometry-optimized Zr2OsC structure, computed with PBE-GGA.

Final energy   -9.14 eV/atom

Cell and atoms, written as POSCAR:
```
Zr2OsC
1.0
6.4740 0.0000 0.0000
0.0000 6.4740 0.0000
3.2370 3.2370 3.3452
Zr C Os
4 2 2
Direct
0.5671 0.1250 0.2500 Zr
0.8750 0.8171 0.7500 Zr
0.3750 0.4329 0.7500 Zr
0.1829 0.6250 0.2500 Zr
0.5000 0.5000 0.0000 C
0.2500 0.7500 0.5000 C
0.0000 0.0000 0.0000 Os
0.7500 0.2500 0.5000 Os
```



7.
A geometry-optimized PC3 structure, computed with PBE-GGA.

Final energy   -5.32 eV/atom
Polymorph energy (0 for the lowest one)   2.306 eV/atom

Cell and atoms, written as POSCAR:
```
PC3
1.0
4.2420 0.0000 0.0000
-2.1210 3.6737 0.0000
0.0000 0.0000 10.8212
C P
12 4
Direct
0.0000 0.5000 0.5000 C
0.5000 0.5000 0.5000 C
0.2207 0.7793 0.7500 C
0.7793 0.2207 0.2500 C
0.0000 0.5000 0.0000 C
0.5000 0.5000 0.0000 C
0.5000 0.0000 0.0000 C
0.4414 0.2207 0.2500 C
0.5000 0.0000 0.5000 C
0.5586 0.7793 0.7500 C
0.7793 0.5586 0.2500 C
0.2207 0.4414 0.7500 C
0.0000 0.0000 0.0000 P
0.3333 0.6667 0.2500 P
0.6667 0.3333 0.7500 P
0.0000 0.0000 0.5000 P
```



8.
A geometry-optimized PC2 structure, computed with PBE-GGA.

Final energy   -6.77 eV/atom
Polymorph energy (0 for the lowest one)   0.957 eV/atom

Cell and atoms, written as POSCAR:
```
PC2
1.0
8.8291 0.8817 3.5083
-9.3698 1.7217 -0.5307
-0.4696 -2.0337 1.6929
C P
4 2
Direct
0.7252 0.2748 0.7500 C
0.5000 0.5000 0.2500 C
0.2748 0.7252 0.2500 C
0.5000 0.5000 0.7500 C
0.2107 0.7893 0.7500 P
0.7893 0.2107 0.2500 P
```



9.
A geometry-optimized P5C4 structure, computed with PBE-GGA.

Final energy   -5.35 eV/atom
Polymorph energy (0 for the lowest one)   0.026 eV/atom

Cell and atoms, written as POSCAR:
```
P5C4
1.0
-4.0267 4.0267 2.0564
4.0267 -4.0267 2.0564
4.0267 4.0267 -2.0564
C P
4 5
Direct
0.0000 0.5824 0.5824 C
0.0000 0.4176 0.4176 C
0.4176 0.0000 0.4176 C
0.5824 0.0000 0.5824 C
0.3630 0.6370 0.0000 P
0.6370 0.3630 0.0000 P
0.0000 0.0000 0.0000 P
0.3630 0.3630 0.7259 P
0.6370 0.6370 0.2741 P
```



10.
A geometry-optimized PC3 structure, computed with PBE-GGA.

Final energy   -5.63 eV/atom
Polymorph energy (0 for the lowest one)   1.996 eV/atom

Cell and atoms, written as POSCAR:
```
PC3
1.0
-2.8780 -1.8523 -0.9246
-0.3935 -1.0650 3.3585
-2.0325 2.8290 0.6590
C P
3 1
Direct
0.0000 0.5000 0.0000 C
0.5000 0.0000 0.0000 C
0.0000 0.0000 0.5000 C
0.0000 0.0000 0.0000 P
```



11.
A geometry-optimized PC2 structure, computed with PBE-GGA.

Final energy   -7.20 eV/atom
Polymorph energy (0 for the lowest one)   0.523 eV/atom

Cell and atoms, written as POSCAR:
```
PC2
1.0
1.4680 2.3139 0.8073
-2.5687 -0.5289 1.1327
3.0235 -3.7065 5.1259
C P
4 2
Direct
0.6667 0.3333 0.1488 C
0.3333 0.6667 0.8512 C
0.6667 0.3333 0.3512 C
0.3333 0.6667 0.6488 C
0.0000 0.0000 0.5000 P
0.0000 0.0000 0.0000 P
```



12.
A geometry-optimized PC3 structure, computed with PBE-GGA.

Final energy   -4.87 eV/atom
Polymorph energy (0 for the lowest one)   2.760 eV/atom

Cell and atoms, written as POSCAR:
```
PC3
1.0
4.0475 0.0000 0.0000
0.0000 4.0475 0.0000
0.0000 0.0000 4.0475
C P
6 2
Direct
0.5000 0.0000 0.7500 C
0.2500 0.5000 0.0000 C
0.0000 0.2500 0.5000 C
0.7500 0.5000 0.0000 C
0.5000 0.0000 0.2500 C
0.0000 0.7500 0.5000 C
0.0000 0.0000 0.0000 P
0.5000 0.5000 0.5000 P
```